(1)
An optimized crystal structure of RbBe2Te, computed with PBE.

Cell lengths 8.0069, 8.0069, 7.0157 Å; angles 90.00, 90.00, 90.00 degrees
Closest atoms and distances in Å follow each position.
Space group I-42d (No. 122)
Asymmetric unit:
Rb  0.0000  0.0000  0.0000 (multiplicity 4)  8 Be 3.50-3.54, 2 Te 3.51
Be  0.1585  0.2500  0.6250 (multiplicity 8)  2 Te 2.53
Te  0.0000  0.0000  0.5000 (multiplicity 4)  4 Be 2.53

As for the uncorrected formation energy: 700 meV per atom. Its density of states at the Fermi level is 0.806 states/eV/atom. As for the total energy: -35.1 eV/cell.


(2)
An optimized crystal structure of Sm3GdCl, computed with PBE.

Cell lengths 5.4048, 5.4048, 5.4048 Å; angles 90.00, 90.00, 90.00 degrees
Closest atoms and distances in Å follow each position.
Space group Pm-3m (No. 221)
Asymmetric unit:
Sm  0.0000  0.0000  0.5000 (multiplicity 3)  2 Cl 2.70
Gd  0.5000  0.5000  0.5000 (multiplicity 1)  12 Sm 3.82
Cl  0.0000  0.0000  0.0000 (multiplicity 1)  6 Sm 2.70

As for the uncorrected formation energy: -481 meV per atom. Its density of states at the Fermi level is 1.181 states/eV/atom. As for the total energy: -32.5 eV/cell.


(3)
An optimized crystal structure of V6Mo5As, computed with PBE.

Cell lengths 4.3378, 6.1599, 12.9995 Å; angles 90.00, 90.00, 90.00 degrees
Closest atoms and distances in Å follow each position.
Space group Immm (No. 71)
Asymmetric unit:
V  0.0000  0.2399  0.0000 (multiplicity 4)  6 Mo 2.62-2.64, 2 As 2.70
V  0.0000  0.2525  0.3314 (multiplicity 8)  7 Mo 2.63-2.68, 1 As 2.69
Mo  0.0000  0.0000  0.1687 (multiplicity 4)  8 V 2.63-2.65
Mo  0.0000  0.5000  0.1618 (multiplicity 4)  8 V 2.64-2.68
Mo  0.0000  0.5000  0.5000 (multiplicity 2)  8 V 2.62-2.67
As  0.0000  0.0000  0.5000 (multiplicity 2)  8 V 2.69-2.70

For the energy of formation, the calculation gives -0.156 eV per atom. Its density of states at the Fermi level is 0.773 states/eV/atom. As for the total energy: -230.8 eV/cell.


(4)
An optimized crystal structure of Sr2AlRh2, computed with PBE.

Cell lengths 6.8377, 6.8377, 4.8528 Å; angles 90.00, 90.00, 90.00 degrees
Closest atoms and distances in Å follow each position.
Space group P4/mbm (No. 127)
Asymmetric unit:
Sr  0.1759  0.3241  0.0000 (multiplicity 4)  6 Rh 3.02-3.25
Al  0.0000  0.0000  0.5000 (multiplicity 2)  4 Rh 2.65
Rh  0.1389  0.6389  0.5000 (multiplicity 4)  2 Al 2.65, 1 Rh 2.69

For the energy of formation, the calculation gives -0.385 eV per atom. Its density of states at the Fermi level is 0.332 states/eV/atom. As for the total energy: -47.5 eV/cell.


(5)
An optimized crystal structure of Ca2AlBi, computed with PBE.

Cell lengths 5.0524, 5.0524, 4.4419 Å; angles 90.00, 90.00, 90.00 degrees
Closest atoms and distances in Å follow each position.
Space group P4/mmm (No. 123)
Asymmetric unit:
Ca  0.0000  0.5000  0.0000 (multiplicity 2)  4 Bi 3.36, 4 Al 3.36, 4 Ca 3.57
Al  0.0000  0.0000  0.5000 (multiplicity 1)  8 Ca 3.36, 4 Bi 3.57
Bi  0.5000  0.5000  0.5000 (multiplicity 1)  8 Ca 3.36, 4 Al 3.57

As for the energy above the most stable polymorph in this dataset: 0 kJ/mol of formula units. For the energy of formation, the calculation gives -0.443 eV per atom. Its density of states at the Fermi level is 0.397 states/eV/atom. As for the total energy: -13.4 eV/cell.


(6)
An optimized crystal structure of HgTe2Br, computed with PBE.

Cell lengths 3.8298, 5.1104, 5.6786 Å; angles 90.00, 90.00, 90.00 degrees
Closest atoms and distances in Å follow each position.
Space group Pmmm (No. 47)
Asymmetric unit:
Hg  0.0000  0.0000  0.0000 (multiplicity 1)  4 Te 3.19, 4 Br 3.42
Te  0.0000  0.5000  0.5000 (multiplicity 1)  4 Br 3.19, 4 Te 3.42
Te  0.5000  0.5000  0.0000 (multiplicity 1)  4 Hg 3.19, 4 Te 3.42
Br  0.5000  0.0000  0.5000 (multiplicity 1)  4 Te 3.19, 4 Hg 3.42

As for the energy above the most stable polymorph in this dataset: 113 kJ/mol of formula units. As for the uncorrected formation energy: 182 meV per atom. Its density of states at the Fermi level is 0.301 states/eV/atom. As for the total energy: -7.5 eV/cell.


(7)
An optimized crystal structure of PrSiRh2, computed with PBE.

Cell lengths 4.0344, 4.0344, 9.4875 Å; angles 90.00, 90.00, 90.00 degrees
Closest atoms and distances in Å follow each position.
Space group P4/nmm (No. 129, origin choice 2)
Asymmetric unit:
Pr  0.2500  0.2500  0.2041 (multiplicity 2)  5 Rh 2.97-3.03, 4 Si 3.23
Si  0.2500  0.2500  0.6371 (multiplicity 2)  5 Rh 2.35-2.40
Rh  0.2500  0.2500  0.8845 (multiplicity 2)  1 Si 2.35
Rh  0.2500  0.7500  0.5000 (multiplicity 2)  4 Si 2.40

As for the uncorrected formation energy: -835 meV per atom. Its density of states at the Fermi level is 0.842 states/eV/atom. As for the total energy: -56.5 eV/cell.


(8)
An optimized crystal structure of CrHSe2, computed with PBE.

Cell lengths 3.0348, 7.4068, 8.4213 Å; angles 85.80, 87.74, 78.23 degrees
Closest atoms and distances in Å follow each position.
Space group P-1 (No. 2)
Asymmetric unit:
Cr  0.1849  0.1140  0.0804 (multiplicity 2)  5 Se 2.38-2.39
H  0.0723  0.4819  0.4650 (multiplicity 2)  1 H 0.75
Se  0.2187  0.1077  0.7978 (multiplicity 2)  3 Cr 2.38-2.39
Se  0.4410  0.6461  0.8601 (multiplicity 2)  2 Cr 2.39

As for the energy above the most stable polymorph in this dataset: 36 kJ/mol of formula units. Its density of states at the Fermi level is 0.317 states/eV/atom. As for the total energy: -41.8 eV/cell.